# Rb2WCl4O2, relaxed, DFT PBE+U
# volume: 28.405 Å³/atom
# VASP energy: -4.470 eV/atom
data_Rb2WCl4O2
_chemical_formula_sum 'Rb4 W2 Cl8 O4'
_cell_length_a 12.501
_cell_length_b 6.969
_cell_length_c 7.066
_cell_angle_alpha 90.00
_cell_angle_beta 123.85
_cell_angle_gamma 90.00
_symmetry_space_group_name_H-M 'C 1 2/m 1'
_symmetry_Int_Tables_number 12
loop_
_symmetry_equiv_pos_as_xyz
'x,y,z'
'-x,-y,-z'
'-x,y,-z'
'x,-y,z'
'x+1/2,y+1/2,z'
'-x+1/2,-y+1/2,-z'
'-x+1/2,y+1/2,-z'
'x+1/2,-y+1/2,z'
loop_
_atom_site_label
_atom_site_type_symbol
_atom_site_fract_x
_atom_site_fract_y
_atom_site_fract_z
Rb1 Rb 0.250 0.000 0.204
W1 W 0.000 0.500 0.000
Cl1 Cl 0.038 0.255 0.275
O1 O 0.171 0.500 0.103